Computed, not measured: a relaxed CdPWC2 crystal at the GGA-PBE level of DFT.

Computed properties:
Total moment: 0.0 μB/cell
ΔH_f (0 K): 2.10 eV per atom
Total DFT energy (no corrections): -27.24 eV/cell

a b c (Å): 3.8119 3.8119 4.8383
angles (deg): 90.00 90.00 90.00
Closest atoms and distances in Å follow each position.
Space group P4/mmm (No. 123)
Inequivalent atoms, fractional coordinates:
Cd: 0.0000 0.0000 0.0000 (multiplicity 1)  4 W 2.70
P: 0.5000 0.5000 0.5000 (multiplicity 1)  4 C 1.91
W: 0.5000 0.5000 0.0000 (multiplicity 1)  2 P 2.42, 4 Cd 2.70
C: 0.0000 0.5000 0.5000 (multiplicity 2)  2 P 1.91